This record from Alexandria via LeMat-Bulk describes a relaxed YAl4Cu2 crystal. The functional is PBE-GGA.

Cell: 4.183 6.600 16.909 Å, 90.00 90.00 90.00°
Fractional coordinates of all 28 atoms:
Al1 0.250 0.006 0.928
Cu1 0.250 0.525 0.281
Cu2 0.750 0.475 0.719
Al2 0.750 0.178 0.814
Cu3 0.250 0.752 0.539
Al3 0.250 0.678 0.686
Cu4 0.250 0.748 0.039
Y1 0.250 0.489 0.861
Al4 0.750 0.994 0.072
Al5 0.250 0.494 0.428
Al6 0.750 0.780 0.807
Al7 0.750 0.720 0.307
Y2 0.750 0.989 0.639
Y3 0.250 0.011 0.361
Al8 0.250 0.822 0.186
Al9 0.750 0.322 0.314
Al10 0.250 0.337 0.032
Cu5 0.750 0.248 0.461
Al11 0.250 0.163 0.532
Al12 0.250 0.220 0.193
Al13 0.250 0.280 0.693
Al14 0.750 0.837 0.468
Cu6 0.750 0.025 0.219
Y4 0.750 0.511 0.139
Al15 0.750 0.663 0.968
Cu7 0.250 0.975 0.781
Al16 0.750 0.506 0.572
Cu8 0.750 0.252 0.961

## Properties
Calculated formation energy (eV per atom): -0.38
Calculated volume (Å³ per atom): 16.7
Total DFT energy (no corrections) (eV per atom): -4.609